No. 1
TbMn2BC after structural relaxation, computed with PBE.

Results
**Mass density**: 8.22 g/cm3
**Symmetry**: Cmcm
**E_tot**: -8.12 eV/atom

Lattice parameters (Å, degrees): 5.244 5.244 6.720 90.00 90.00 140.38
Element x y z (fractional)
Tb1 0.040 0.960 0.750
Tb2 0.960 0.040 0.250
Mn1 0.317 0.683 0.560
Mn2 0.317 0.683 0.940
Mn3 0.683 0.317 0.060
Mn4 0.683 0.317 0.440
B1 0.235 0.765 0.250
B2 0.765 0.235 0.750
C1 0.500 0.500 0.000
C2 0.500 0.500 0.500

No. 2
Tb2Mn2B2C after structural relaxation, computed with PBE.

Results
**Mass density**: 7.95 g/cm3
**Symmetry**: C2/m
**E_tot**: -7.55 eV/atom

Lattice parameters (Å, degrees): 5.431 5.431 6.474 122.98 122.98 38.13
Element x y z (fractional)
Tb1 0.067 0.067 0.319
Tb2 0.933 0.933 0.681
Mn1 0.297 0.297 0.914
Mn2 0.703 0.703 0.086
B1 0.311 0.311 0.246
B2 0.689 0.689 0.754
C1 0.500 0.500 0.000

No. 3
ThMn2BC after structural relaxation, computed with PBE.

Results
**Mass density**: 9.47 g/cm3
**Symmetry**: Cmcm
**E_tot**: -8.58 eV/atom

Lattice parameters (Å, degrees): 5.325 5.325 6.889 90.00 90.00 139.11
Element x y z (fractional)
Th1 0.042 0.958 0.750
Th2 0.958 0.042 0.250
Mn1 0.314 0.686 0.557
Mn2 0.314 0.686 0.943
Mn3 0.686 0.314 0.057
Mn4 0.686 0.314 0.443
B1 0.236 0.764 0.250
B2 0.764 0.236 0.750
C1 0.500 0.500 0.000
C2 0.500 0.500 0.500

No. 4
TiMnBC2 after structural relaxation, computed with PBE.

Results
**Mass density**: 3.30 g/cm3
**Symmetry**: P4/mmm
**E_tot**: -5.86 eV/atom

Lattice parameters (Å, degrees): 3.849 3.849 4.679 90.00 90.00 90.00
Element x y z (fractional)
Ti1 0.000 0.000 0.000
Mn1 0.000 0.000 0.500
B1 0.500 0.500 0.500
C1 0.000 0.500 0.000
C2 0.500 0.000 0.000

No. 5
Tm2Mn2BC2 after structural relaxation, computed with PBE.

Results
**Mass density**: 9.04 g/cm3
**Symmetry**: C2/m
**E_tot**: -7.72 eV/atom

Lattice parameters (Å, degrees): 5.362 5.362 6.172 121.52 121.52 36.77
Element x y z (fractional)
Tm1 0.076 0.076 0.341
Tm2 0.924 0.924 0.659
Mn1 0.293 0.293 0.913
Mn2 0.707 0.707 0.087
B1 0.500 0.500 0.000
C1 0.312 0.312 0.257
C2 0.688 0.688 0.743

No. 6
BMo8C2 after structural relaxation, computed with PBE.

Results
**Mass density**: 8.71 g/cm3
**Symmetry**: C2/m
**E_tot**: -10.08 eV/atom

Lattice parameters (Å, degrees): 5.983 5.983 4.451 93.04 93.04 74.28
Element x y z (fractional)
B1 0.000 0.000 0.000
Mo1 0.110 0.694 0.711
Mo2 0.175 0.175 0.739
Mo3 0.306 0.890 0.289
Mo4 0.390 0.390 0.247
Mo5 0.610 0.610 0.753
Mo6 0.694 0.110 0.711
Mo7 0.825 0.825 0.261
Mo8 0.890 0.306 0.289
C1 0.392 0.392 0.751
C2 0.608 0.608 0.249